Entry from Alexandria: crystalline Mg11Mn2O13 at its relaxed geometry (GGA+U).

Unit cell a=3.037 b=4.300 c=19.962 alpha=96.18 beta=94.36 gamma=90.00
Atoms (fractional coordinates):
Mg  0.500  0.500  0.000
Mg  0.269  0.269  0.537
O  0.038  0.538  0.075
O  0.962  0.462  0.925
Mg  0.886  0.886  0.772
O  0.112  0.612  0.225
Mg  0.731  0.731  0.463
Mg  0.962  0.962  0.924
O  0.731  0.231  0.461
O  0.888  0.388  0.775
Mg  0.193  0.193  0.386
Mg  0.114  0.114  0.228
O  0.424  0.924  0.848
Mg  0.424  0.424  0.849
Mg  0.807  0.807  0.614
O  0.500  0.000  0.000
Mg  0.576  0.576  0.151
O  0.653  0.153  0.307
Mn  0.347  0.347  0.693
O  0.195  0.695  0.389
O  0.576  0.076  0.152
Mn  0.653  0.653  0.307
O  0.805  0.305  0.611
O  0.347  0.847  0.693
O  0.269  0.769  0.539
Mg  0.038  0.038  0.076

Its symmetry is Immm. The calculation puts the theoretical density at 3.76 Mg/m³. The total energy is -162.70 eV per cell.